[1]
This record from Alexandria describes an optimized crystal structure of In2SiBr. The functional is GGA-PBE.

## Properties
- Calculated total energy: -12.1 eV for the cell shown
- Uncorrected formation energy: 0.11 eV/atom
- Space-group type: Cmmm (65)
- Polymorph energy (0 for the lowest one): 0.156 eV per atom

abc: 3.591 3.591 7.944
angles: 90.00 90.00 100.43
Atoms (fractional coordinates):
Br: 0.500 0.500 0.750
In: 0.000 0.000 0.033
In: 0.000 0.000 0.467
Si: 0.500 0.500 0.250

***

[2]
This record from Alexandria describes an optimized crystal structure of Th2TaZn. The functional is GGA-PBE.

## Properties
- Calculated total energy: -25.7 eV for the cell shown
- Space-group type: R-3m (166)
- Energy of formation from the pure elements: 561 meV/atom

abc: 3.233 3.233 11.414
angles: 81.86 81.86 60.00
Atoms (fractional coordinates):
Zn: 0.500 0.500 0.500
Th: 0.088 0.088 0.735
Th: 0.912 0.912 0.265
Ta: 0.000 0.000 0.000